# 1
Density functional theory data (PBE-GGA) for a relaxed BeSb2Rh crystal.

```
data_BeSb2Rh
_cell_length_a 3.2855
_cell_length_b 3.7647
_cell_length_c 13.5408
_cell_angle_alpha 90.00
_cell_angle_beta 90.00
_cell_angle_gamma 90.00
_symmetry_space_group_name_H-M 'I m m 2'
_symmetry_Int_Tables_number 44
loop_
_symmetry_equiv_pos_as_xyz
'x,y,z'
'-x,-y,z'
'-x,y,z'
'x,-y,z'
'x+1/2,y+1/2,z+1/2'
'-x+1/2,-y+1/2,z+1/2'
'-x+1/2,y+1/2,z+1/2'
'x+1/2,-y+1/2,z+1/2'
loop_
_atom_site_label
_atom_site_fract_x
_atom_site_fract_y
_atom_site_fract_z
Be1 0.0000 0.0000 0.0000
Sb1 0.0000 0.0000 0.5752
Sb2 0.0000 0.5000 0.3142
Rh1 0.0000 0.5000 0.9100
```

Output
For the total magnetization, the calculation gives 0.0 μB per formula unit. Its energy relative to the elements, uncorrected is -0.4 eV per formula unit. The calculation puts the density of states at the Fermi level at 0.3354 states/eV per atom. The mass density is 7.0 Mg/m³.

# 2
Density functional theory data (PBE-GGA) for a relaxed BaLiHg2F8 crystal.

```
data_BaLiHg2F8
_cell_length_a 4.4167
_cell_length_b 5.5161
_cell_length_c 8.2342
_cell_angle_alpha 88.79
_cell_angle_beta 88.17
_cell_angle_gamma 87.57
_symmetry_space_group_name_H-M 'P -1'
_symmetry_Int_Tables_number 2
loop_
_symmetry_equiv_pos_as_xyz
'x,y,z'
'-x,-y,-z'
loop_
_atom_site_label
_atom_site_fract_x
_atom_site_fract_y
_atom_site_fract_z
Ba1 0.0000 0.0000 0.0000
Li1 0.0000 0.0000 0.5000
Hg1 0.4614 0.5292 0.2833
F1 0.0956 0.8128 0.3056
F2 0.1152 0.6805 0.7663
F3 0.3674 0.2582 0.4716
F4 0.4742 0.2588 0.9438
```

Output
For the total magnetization, the calculation gives 1.1 μB per formula unit. Its energy relative to the elements, uncorrected is -25.8 eV per formula unit. The calculation puts the density of states at the Fermi level at 0.5138 states/eV per atom. The mass density is 5.8 Mg/m³.

# 3
Density functional theory data (PBE-GGA) for a relaxed NiAsP2 crystal.

```
data_NiAsP2
_cell_length_a 3.1934
_cell_length_b 3.1934
_cell_length_c 5.7493
_cell_angle_alpha 90.00
_cell_angle_beta 90.00
_cell_angle_gamma 90.00
_symmetry_space_group_name_H-M 'P 4/m m m'
_symmetry_Int_Tables_number 123
_symmetry_space_group_name_Hall '-P 4 2'
loop_
_atom_site_label
_atom_site_fract_x
_atom_site_fract_y
_atom_site_fract_z
Ni1 0.0000 0.0000 0.0000
As1 0.0000 0.0000 0.5000
P1 0.5000 0.5000 0.1914
```

Output
For the total magnetization, the calculation gives 0.0 μB per formula unit. The calculation puts the density of states at the Fermi level at 0.6481 states/eV per atom. The energy of formation from the pure elements is 0.259 eV/atom. The mass density is 5.5 Mg/m³.